A geometry-optimized MnAuS2 structure, computed with PBE.

CIF file:
```
data_MnAuS2
_space_group_name_H-M_alt 'P n m a'
_space_group_IT_number 62
_space_group_name_Hall '-P 2ac 2n'
_cell_length_a 7.3989
_cell_length_b 3.1953
_cell_length_c 13.7938
_cell_angle_alpha 90.00
_cell_angle_beta 90.00
_cell_angle_gamma 90.00
loop_
_atom_site_label
_atom_site_type_symbol
_atom_site_fract_x
_atom_site_fract_y
_atom_site_fract_z
Mn1 Mn 0.0481 0.2500 0.0716
Au1 Au 0.0184 0.7500 0.4018
S1 S 0.1661 0.2500 0.9233
S2 S 0.2178 0.7500 0.1498
```

Magnetic moment = 7.70 μB/cell
Calculated volume = 20.38 Å³/atom
Energy relative to the elements, uncorrected = -0.312 eV per atom